Entry 1:
# Pm8DyY6 (PBE, relaxed)
# Offset from the most stable computed form   0.00 kcal/mol of atoms
# Energy of formation   0.11 eV per atom
# N(E_F)   23.799 states/eV/f.u.
# E_tot   -0.1952 hartree per atom
data_Pm8DyY6
_space_group_name_H-M_alt 'R -3'
_space_group_IT_number 148
_space_group_name_Hall '-R 3'
_cell_length_a 9.1560
_cell_length_b 9.1560
_cell_length_c 20.9065
_cell_angle_alpha 90.00
_cell_angle_beta 90.00
_cell_angle_gamma 120.00
loop_
_atom_site_label
_atom_site_fract_x
_atom_site_fract_y
_atom_site_fract_z
_atom_site_occupancy
Pm1 0.0000 0.0000 0.0771 1
Pm2 0.0809 0.5570 0.3066 1
Dy1 0.0000 0.0000 0.5000 1
Y1 0.0480 0.2448 0.2059 1

---

Entry 2:
# AcPrReN4 (PBE, relaxed)
# Formation energy from raw total energies   -0.85 eV per atom
# N(E_F)   2.243 states/eV/f.u.
# E_tot   -0.3181 hartree per atom
data_AcPrReN4
_space_group_name_H-M_alt 'I 4 m m'
_space_group_IT_number 107
_space_group_name_Hall 'I 4 -2'
_cell_length_a 3.961
_cell_length_b 3.961
_cell_length_c 13.001
_cell_angle_alpha 90.00
_cell_angle_beta 90.00
_cell_angle_gamma 90.00
loop_
_atom_site_label
_atom_site_fract_x
_atom_site_fract_y
_atom_site_fract_z
_atom_site_occupancy
Ac1 0.000 0.000 0.000 1
Pr1 0.000 0.000 0.709 1
Re1 0.000 0.000 0.351 1
N1 0.000 0.000 0.193 1
N2 0.000 0.000 0.518 1
N3 0.000 0.500 0.351 1

---

Q: What is the E_tot in the first record?
A: -0.1952 hartree per atom

---

Q: Among the records above, which one has the highest E_tot?
A: Pm8DyY6

---

Repeat the second record exactly.
# AcPrReN4 (PBE, relaxed)
# Formation energy from raw total energies   -0.85 eV per atom
# N(E_F)   2.243 states/eV/f.u.
# E_tot   -0.3181 hartree per atom
data_AcPrReN4
_space_group_name_H-M_alt 'I 4 m m'
_space_group_IT_number 107
_space_group_name_Hall 'I 4 -2'
_cell_length_a 3.961
_cell_length_b 3.961
_cell_length_c 13.001
_cell_angle_alpha 90.00
_cell_angle_beta 90.00
_cell_angle_gamma 90.00
loop_
_atom_site_label
_atom_site_fract_x
_atom_site_fract_y
_atom_site_fract_z
_atom_site_occupancy
Ac1 0.000 0.000 0.000 1
Pr1 0.000 0.000 0.709 1
Re1 0.000 0.000 0.351 1
N1 0.000 0.000 0.193 1
N2 0.000 0.000 0.518 1
N3 0.000 0.500 0.351 1